(1)
Entry from the Alexandria database: a geometry-optimized GeBiBRh2 structure (GGA-PBE).

Cell lengths 4.564, 4.564, 5.424 Å; angles 90.00, 90.00, 90.00 degrees
Atoms (fractional coordinates):
Ge 0.000 0.000 0.000
Bi 0.000 0.000 0.500
B 0.500 0.500 0.500
Rh 0.000 0.500 0.000
Rh 0.500 0.000 0.000

Results
formation enthalpy at 0 K: 1455 meV per atom

(2)
Entry from the Alexandria database: a geometry-optimized Ti3MnI structure (GGA-PBE).

Cell lengths 4.950, 4.950, 4.950 Å; angles 90.00, 90.00, 90.00 degrees
Atoms (fractional coordinates):
Ti 0.000 0.000 0.500
Ti 0.000 0.500 0.000
Ti 0.500 0.000 0.000
Mn 0.500 0.500 0.500
I 0.000 0.000 0.000

Results
relative energy among the computed polymorphs: 17.839 kcal/mol of atoms
formation energy from raw total energies: 1.171 eV per atom

(3)
Entry from the Alexandria database: a geometry-optimized CeNbGa2O8 structure (GGA-PBE).

Cell lengths 4.730, 4.730, 6.553 Å; angles 90.00, 90.00, 90.31 degrees
Atoms (fractional coordinates):
Ce 0.000 0.000 0.000
Nb 0.000 0.000 0.500
Ga 0.500 0.500 0.266
Ga 0.500 0.500 0.734
O 0.203 0.203 0.276
O 0.203 0.203 0.724
O 0.303 0.697 0.500
O 0.325 0.675 0.000
O 0.675 0.325 0.000
O 0.697 0.303 0.500
O 0.797 0.797 0.276
O 0.797 0.797 0.724

Results
formation energy from raw total energies: -2.192 eV per atom

(4)
Entry from the Alexandria database: a geometry-optimized TlCr2Cu structure (GGA-PBE).

Cell lengths 3.027, 3.027, 24.737 Å; angles 90.00, 90.00, 120.00 degrees
Atoms (fractional coordinates):
Tl 0.000 0.000 0.000
Tl 0.333 0.667 0.667
Tl 0.667 0.333 0.333
Cr 0.000 0.000 0.494
Cr 0.000 0.000 0.765
Cr 0.333 0.667 0.161
Cr 0.333 0.667 0.432
Cr 0.667 0.333 0.099
Cr 0.667 0.333 0.827
Cu 0.000 0.000 0.240
Cu 0.333 0.667 0.906
Cu 0.667 0.333 0.573

Results
formation enthalpy at 0 K: 611 meV per atom

(5)
Entry from the Alexandria database: a geometry-optimized HfB2ClF structure (GGA-PBE).

Cell lengths 4.770, 4.770, 4.103 Å; angles 90.00, 90.00, 90.00 degrees
Atoms (fractional coordinates):
Hf 0.000 0.000 0.000
B 0.000 0.500 0.000
B 0.500 0.000 0.000
Cl 0.500 0.500 0.500
F 0.000 0.000 0.500

Results
formation energy from raw total energies: 0.301 eV per atom

(6)
Entry from the Alexandria database: a geometry-optimized CePu2PaS4 structure (GGA-PBE).

Cell lengths 6.818, 3.926, 6.863 Å; angles 90.00, 109.22, 90.00 degrees
Atoms (fractional coordinates):
Ce 0.000 0.000 0.000
Pu 0.000 0.500 0.500
Pu 0.500 0.000 0.500
Pa 0.500 0.500 0.000
S 0.252 0.000 0.746
S 0.256 0.500 0.256
S 0.744 0.500 0.744
S 0.748 0.000 0.254

Results
formation energy from raw total energies: -1.790 eV per atom

(7)
Entry from the Alexandria database: a geometry-optimized Sc3SbS structure (GGA-PBE).

Cell lengths 8.568, 8.568, 6.101 Å; angles 94.52, 94.52, 100.01 degrees
Atoms (fractional coordinates):
Sc 0.043 0.753 0.957
Sc 0.164 0.573 0.376
Sc 0.247 0.957 0.543
Sc 0.293 0.437 0.884
Sc 0.427 0.836 0.124
Sc 0.437 0.293 0.384
Sc 0.563 0.707 0.616
Sc 0.573 0.164 0.876
Sc 0.707 0.563 0.116
Sc 0.753 0.043 0.457
Sc 0.836 0.427 0.624
Sc 0.957 0.247 0.043
Sb 0.086 0.246 0.523
Sb 0.246 0.086 0.023
Sb 0.754 0.914 0.977
Sb 0.914 0.754 0.477
S 0.290 0.710 0.750
S 0.436 0.564 0.250
S 0.564 0.436 0.750
S 0.710 0.290 0.250

Results
relative energy among the computed polymorphs: 0.000 kcal/mol of atoms
formation energy from raw total energies: -1.130 eV per atom

(8)
Entry from the Alexandria database: a geometry-optimized Th2NpTl structure (GGA-PBE).

Cell lengths 3.808, 3.808, 26.081 Å; angles 90.00, 90.00, 120.00 degrees
Atoms (fractional coordinates):
Th 0.000 0.000 0.231
Th 0.000 0.000 0.769
Th 0.333 0.667 0.435
Th 0.333 0.667 0.898
Th 0.667 0.333 0.102
Th 0.667 0.333 0.565
Np 0.000 0.000 0.500
Np 0.333 0.667 0.167
Np 0.667 0.333 0.833
Tl 0.000 0.000 0.000
Tl 0.333 0.667 0.667
Tl 0.667 0.333 0.333

Results
relative energy among the computed polymorphs: 6.793 kcal/mol of atoms
formation enthalpy at 0 K: 550 meV per atom

no.,N(E_F) (states/eV per atom),calculated total energy (eV/atom)
1,1.372,-4.521
2,1.888,-5.710
3,0.388,-7.336
4,0.940,-5.817
5,0.800,-5.104
6,2.037,-9.365
7,0.758,-6.579
8,1.912,-6.987